# 1
CePu2Ga2Cu2 after structural relaxation. Source: Alexandria, functional PBE.

Cell lengths 8.556, 8.556, 8.556 Å; angles 30.55, 30.55, 30.55 degrees
Atoms (fractional coordinates):
Ce1 0.000 0.000 0.000
Pu1 0.132 0.132 0.132
Pu2 0.868 0.868 0.868
Ga1 0.263 0.263 0.263
Ga2 0.737 0.737 0.737
Cu1 0.403 0.403 0.403
Cu2 0.597 0.597 0.597

Calculated values
Formation enthalpy at 0 K ... -0.23 eV per atom
E ... -7.208 eV per atom

***

# 2
CePuGaCu after structural relaxation. Source: Alexandria, functional PBE.

Cell lengths 4.868, 4.868, 4.750 Å; angles 90.00, 90.00, 120.00 degrees
Atoms (fractional coordinates):
Ce1 0.000 0.000 0.000
Pu1 0.333 0.667 0.467
Ga1 0.667 0.333 0.733
Cu1 0.667 0.333 0.235

Calculated values
Formation enthalpy at 0 K ... -0.01 eV per atom
E ... -6.856 eV per atom

***

# 3
Ce2Ga4CuRh3 after structural relaxation. Source: Alexandria, functional PBE.

Cell lengths 4.091, 4.091, 10.991 Å; angles 90.00, 90.00, 90.00 degrees
Atoms (fractional coordinates):
Ce1 0.000 0.500 0.241
Ce2 0.500 0.000 0.759
Ga1 0.000 0.000 0.000
Ga2 0.000 0.500 0.629
Ga3 0.500 0.000 0.371
Ga4 0.500 0.500 0.000
Cu1 0.000 0.000 0.500
Rh1 0.000 0.500 0.858
Rh2 0.500 0.000 0.142
Rh3 0.500 0.500 0.500

Calculated values
Formation enthalpy at 0 K ... -0.65 eV per atom
E ... -5.664 eV per atom

***

# 4
Ce2Ga3CuRh4 after structural relaxation. Source: Alexandria, functional PBE.

Cell lengths 4.194, 4.194, 10.407 Å; angles 90.00, 90.00, 90.00 degrees
Atoms (fractional coordinates):
Ce1 0.000 0.500 0.249
Ce2 0.500 0.000 0.751
Ga1 0.000 0.500 0.874
Ga2 0.500 0.000 0.126
Ga3 0.500 0.500 0.500
Cu1 0.000 0.000 0.500
Rh1 0.000 0.000 0.000
Rh2 0.000 0.500 0.638
Rh3 0.500 0.000 0.362
Rh4 0.500 0.500 0.000

Calculated values
Formation enthalpy at 0 K ... -0.66 eV per atom
E ... -6.109 eV per atom

***

The lowest formation enthalpy at 0 K belongs to which entry?
Ce2Ga3CuRh4